# 1
Compound: Pm2GaAs3Ir4
Source: Alexandria via LeMat-Bulk
Functional: PBE
Structure: relaxed

Output
Formation enthalpy at 0 K in eV/atom: -0.75
Calculated volume in Å³ per cell: 184.4
N(E_F) in states/eV per atom: 0.51

abc: 4.2175 4.2175 10.3674
angles: 90.00 90.00 90.00
With the nearest neighbours (Å) after each atom.
Fractional coordinates of all 10 atoms:
As (0.0000, 0.5000, 0.1375)  5 Ir 2.41-2.55
As (0.0000, 0.0000, 0.5000)  4 Ir 2.51
As (0.5000, 0.0000, 0.8625)  5 Ir 2.41-2.55
Ir (0.0000, 0.0000, 0.0000)  4 As 2.55
Ir (0.5000, 0.0000, 0.6305)  3 As 2.41-2.51, 2 Ga 2.51
Ir (0.0000, 0.5000, 0.3695)  3 As 2.41-2.51, 2 Ga 2.51
Ir (0.5000, 0.5000, 0.0000)  4 As 2.55
Ga (0.5000, 0.5000, 0.5000)  4 Ir 2.51
Pm (0.5000, 0.0000, 0.2525)  6 As 3.21-3.32, 8 Ir 3.22-3.36, 2 Ga 3.32
Pm (0.0000, 0.5000, 0.7475)  6 As 3.21-3.32, 8 Ir 3.22-3.36, 2 Ga 3.32

---

# 2
Compound: Ga2SbAsIr
Source: Alexandria via LeMat-Bulk
Functional: PBE
Structure: relaxed

Output
Calculated volume in Å³ per cell: 114.5
E_tot in Ry/atom: -0.305
N(E_F) in states/eV per atom: 0.89

abc: 4.9197 4.7316 4.9197
angles: 90.00 90.00 90.00
With the nearest neighbours (Å) after each atom.
Fractional coordinates of all 5 atoms:
As (0.0000, 0.0000, 0.0000)  2 Ir 2.37, 4 Ga 2.46
Ga (0.5000, 0.0000, 0.0000)  2 As 2.46
Ga (0.0000, 0.0000, 0.5000)  2 As 2.46
Sb (0.5000, 0.5000, 0.5000)  8 Ga 3.41, 4 Ir 3.48
Ir (0.0000, 0.5000, 0.0000)  2 As 2.37

---

# 3
Compound: GaAsIrSe2
Source: Alexandria via LeMat-Bulk
Functional: PBE
Structure: relaxed

Output
Energy above the lowest structure with this stoichiometry in eV/atom: 0.000
Calculated volume in Å³ per cell: 123.8
N(E_F) in states/eV per atom: 1.27

abc: 5.1967 5.1967 4.5852
angles: 90.00 90.00 90.00
With the nearest neighbours (Å) after each atom.
Fractional coordinates of all 5 atoms:
Se (0.5000, 0.0000, 0.0000)  2 Ir 2.60
Se (0.0000, 0.5000, 0.0000)  2 Ir 2.60
As (0.0000, 0.0000, 0.5000)  2 Ir 2.29
Ir (0.0000, 0.0000, 0.0000)  2 As 2.29
Ga (0.5000, 0.5000, 0.5000)  8 Se 3.47, 4 As 3.67

---

# 4
Compound: GaAsIrSe2
Source: Alexandria via LeMat-Bulk
Functional: PBE
Structure: relaxed

Output
Energy above the lowest structure with this stoichiometry in eV/atom: 0.759
Calculated volume in Å³ per cell: 109.0
N(E_F) in states/eV per atom: 0.77

abc: 4.7990 4.7990 4.7328
angles: 90.00 90.00 90.00
With the nearest neighbours (Å) after each atom.
Fractional coordinates of all 5 atoms:
Se (0.5000, 0.0000, 0.0000)  2 Ga 2.40
Se (0.0000, 0.5000, 0.0000)  2 Ga 2.40
As (0.0000, 0.0000, 0.5000)  2 Ga 2.37
Ir (0.5000, 0.5000, 0.5000)  8 Se 3.37, 4 As 3.39
Ga (0.0000, 0.0000, 0.0000)  2 As 2.37, 4 Se 2.40

---

# 5
Compound: KGa2As2
Source: Alexandria via LeMat-Bulk
Functional: PBE
Structure: relaxed

Output
Energy above the lowest structure with this stoichiometry in eV/atom: 0.262
Formation enthalpy at 0 K in eV/atom: -0.10
Calculated volume in Å³ per cell: 264.1
N(E_F) in states/eV per atom: 0.32

abc: 8.4415 8.4415 3.7058
angles: 90.00 90.00 90.00
With the nearest neighbours (Å) after each atom.
Fractional coordinates of all 10 atoms:
Ga (0.6380, 0.8620, 0.5000)  4 As 2.79
Ga (0.3620, 0.1380, 0.5000)  4 As 2.79
Ga (0.1380, 0.6380, 0.5000)  4 As 2.79
Ga (0.8620, 0.3620, 0.5000)  4 As 2.79
As (0.8931, 0.6069, 0.0000)  1 As 2.55, 4 Ga 2.79
As (0.1069, 0.3931, 0.0000)  1 As 2.55, 4 Ga 2.79
As (0.6069, 0.1069, 0.0000)  1 As 2.55, 4 Ga 2.79
As (0.3931, 0.8931, 0.0000)  1 As 2.55, 4 Ga 2.79
K (0.0000, 0.0000, 0.0000)  4 As 3.44, 2 K 3.71, 8 Ga 3.76
K (0.5000, 0.5000, 0.0000)  4 As 3.44, 2 K 3.71, 8 Ga 3.76

---

# 6
Compound: K2GaAs2
Source: Alexandria via LeMat-Bulk
Functional: PBE
Structure: relaxed

Output
Energy above the lowest structure with this stoichiometry in eV/atom: 0.096
Formation enthalpy at 0 K in eV/atom: -0.40
Calculated volume in Å³ per cell: 290.9
N(E_F) in states/eV per atom: 0.22

abc: 6.9210 7.4937 6.6656
angles: 98.64 121.28 90.00
With the nearest neighbours (Å) after each atom.
Fractional coordinates of all 10 atoms:
As (0.7301, 0.4817, 0.7486)  2 Ga 2.55-2.57
As (0.0185, 0.9817, 0.7486)  2 Ga 2.55-2.57
As (0.9815, 0.0183, 0.2514)  2 Ga 2.55-2.57
As (0.2699, 0.5183, 0.2514)  2 Ga 2.55-2.57
K (0.4742, 0.8743, 0.7006)  6 As 3.36-3.69, 1 Ga 3.48, 1 K 3.65
K (0.2264, 0.3743, 0.7006)  6 As 3.36-3.69, 1 Ga 3.48, 1 K 3.65
K (0.7736, 0.6257, 0.2994)  6 As 3.36-3.69, 1 Ga 3.48, 1 K 3.65
K (0.5258, 0.1257, 0.2994)  6 As 3.36-3.69, 1 Ga 3.48, 1 K 3.65
Ga (0.0269, 0.7500, 0.0000)  4 As 2.55-2.57
Ga (0.9731, 0.2500, 0.0000)  4 As 2.55-2.57